# 1
Material: CsAgPbBr4
Method: DFT, PBE
State: optimized geometry

The structure in extended XYZ format:
```
14
Lattice="7.316 0.000 -0.215 0.000 7.796 0.000 -3.143 0.000 9.445" Properties=species:S:1:pos:R:3 pbc="T T T"
Br -1.979 7.675 6.690
Br -1.979 4.018 6.690
Br 2.723 5.847 1.404
Pb -0.158 1.949 5.131
Br 1.708 5.847 5.448
Br 2.464 1.949 3.782
Ag 3.607 1.949 6.226
Br 1.449 1.949 7.826
Br 6.151 0.120 2.540
Ag 0.566 5.847 3.004
Br 6.151 3.777 2.540
Cs 1.626 1.949 0.436
Cs 2.546 5.847 8.794
Pb 4.330 5.847 4.099
```

=====

# 2
Material: Cs4Ag3PbBr12
Method: DFT, PBE
State: optimized geometry

The structure in extended XYZ format:
```
20
Lattice="-2.680 -1.111 -9.261 8.465 -4.509 1.481 -6.765 -3.832 5.808" Properties=species:S:1:pos:R:3 pbc="T T T"
Cs 4.233 -2.254 0.740
Br 2.296 -5.575 1.699
Br 1.264 -6.200 5.418
Cs -0.490 -4.726 -0.986
Ag 2.892 -2.810 -3.890
Cs -3.383 -1.916 2.904
Br -1.512 -5.406 2.781
Br -7.022 -3.674 -2.567
Br 0.531 -4.046 -4.753
Ag 0.850 -4.170 3.644
Br 3.317 -4.895 -2.068
Ag -4.723 -2.471 -1.727
Br 1.484 -1.442 -1.996
Br 0.436 -2.140 1.870
Pb 0.000 0.000 0.000
Br 4.300 -4.178 -5.784
Br -3.277 -3.876 -3.672
Cs -1.340 -0.555 -4.630
Br -4.298 -4.556 0.096
Br -2.424 -1.268 -0.886
```

=====

# 3
Material: CsAgPb2Br6
Method: DFT, PBE
State: optimized geometry

The structure in extended XYZ format:
```
10
Lattice="7.926 0.058 0.089 4.013 6.834 0.076 4.058 2.330 7.098" Properties=species:S:1:pos:R:3 pbc="T T T"
Br 9.575 3.131 5.495
Br 8.503 6.800 5.296
Pb 8.009 4.605 3.190
Br 6.658 6.826 1.670
Br 6.710 2.334 1.686
Br 5.853 3.978 5.298
Br 10.711 4.559 1.774
Ag 3.964 2.307 0.302
Pb 4.060 2.320 6.993
Cs 11.966 6.955 4.662
```

=====

# 4
Material: CsAg4Pb3Br12
Method: DFT, PBE
State: optimized geometry

The structure in extended XYZ format:
```
20
Lattice="9.905 -0.235 -0.327 -2.615 9.556 -0.327 -2.615 -3.343 8.958" Properties=species:S:1:pos:R:3 pbc="T T T"
Br 8.236 0.958 2.790
Br -2.818 7.021 4.153
Br -1.055 0.035 8.685
Br 0.294 4.587 4.153
Br 0.288 8.558 1.794
Cs 0.000 0.000 0.000
Ag 2.338 8.372 0.278
Br 4.381 3.496 2.637
Ag 2.338 2.989 4.153
Ag -2.887 1.692 8.027
Ag 7.562 -1.097 4.153
Br 7.493 4.269 0.329
Br 5.730 -2.246 5.515
Br 2.338 -2.323 7.976
Br -3.561 3.636 6.511
Pb 2.812 -1.996 4.934
Pb 4.478 4.009 -0.327
Pb -2.615 3.965 3.698
Br 4.387 6.993 -0.380
Br 2.338 0.883 5.668
```

=====

# 5
Material: Cs2Ag2PbBr6
Method: DFT, PBE
State: optimized geometry

The structure in extended XYZ format:
```
11
Lattice="8.299 0.000 0.000 -4.149 7.302 0.059 0.000 -4.126 7.240" Properties=species:S:1:pos:R:3 pbc="T T T"
Br 4.149 0.781 4.685
Cs 0.000 0.586 5.814
Ag 0.000 0.032 1.491
Cs 4.149 2.590 1.485
Ag 4.149 3.144 5.808
Br -2.035 5.750 1.470
Pb 4.149 -2.063 3.620
Br 2.114 -2.574 5.829
Br 6.184 -2.574 5.829
Br 2.035 5.750 1.470
Br 0.000 2.396 2.614
```

=====

# 6
Material: Cs2AgPbBr6
Method: DFT, PBE
State: optimized geometry

The structure in extended XYZ format:
```
10
Lattice="8.053 0.000 0.000 0.000 8.053 0.000 4.026 4.026 5.716" Properties=species:S:1:pos:R:3 pbc="T T T"
Br 4.026 4.026 2.804
Br 8.053 8.053 2.911
Cs 8.053 4.026 2.858
Br 2.058 2.058 0.000
Br 2.058 5.994 0.000
Cs 4.026 8.053 2.858
Br 5.994 5.994 0.000
Pb 0.000 0.000 0.000
Br 5.994 2.058 0.000
Ag 4.026 4.026 0.000
```

=====

# 7
Material: Cs3Ag2PdBr6
Method: DFT, PBE
State: optimized geometry

The structure in extended XYZ format:
```
12
Lattice="-2.692 2.225 -7.440 -2.067 -7.328 3.096 -7.469 3.718 3.814" Properties=species:S:1:pos:R:3 pbc="T T T"
Br -7.740 3.319 -3.195
Pd -3.734 1.859 1.907
Ag -8.047 1.811 -1.087
Cs 0.000 0.000 0.000
Br -4.487 -4.703 2.665
Br -8.855 -0.632 -1.525
Br -6.289 2.119 0.817
Cs -7.103 -1.740 2.049
Br -3.373 -0.752 0.995
Cs -5.125 0.356 -2.579
Br -5.939 -3.503 -1.347
Ag -4.181 -3.195 0.557
```

=====

# 8
Material: Cs2Ag2PdBr6
Method: DFT, PBE
State: optimized geometry

The structure in extended XYZ format:
```
11
Lattice="7.633 0.000 0.000 -3.816 7.865 2.009 0.000 -2.502 5.820" Properties=species:S:1:pos:R:3 pbc="T T T"
Br 1.727 6.005 3.261
Cs 3.816 2.526 2.142
Ag 0.000 -0.196 1.616
Ag 3.816 5.560 6.213
Br 3.816 3.014 5.775
Br -1.727 6.005 3.261
Br 2.089 -0.641 4.568
Pd 3.816 -1.251 2.910
Cs 0.000 2.838 5.687
Br 0.000 2.350 2.053
Br 5.544 -0.641 4.568
```

=====

Calculated values (eV/atom) of E for the records, taken in order: -3.01, -2.77, -3.07, -2.86, -2.95, -2.93, -2.86, -2.93.
Calculated values (eV per atom) of raw formation energy for the records, taken in order: -0.991, -0.982, -0.954, -0.689, -1.026, -1.097, -0.904, -0.877.